# PrDy3Sc6 | Alexandria | PBE | optimized geometry
# VASP energy	-5.50	eV per atom
# energy of formation	0.16	eV per atom
# energy above the lowest structure with this stoichiometry	0.0000	eV per atom
# SG	No. 36
# V	554	Å³/cell
data_PrDy3Sc6
_space_group_name_H-M_alt 'P 1'
_space_group_IT_number 1
_cell_length_a 10.3817
_cell_length_b 10.3817
_cell_length_c 5.8998
_cell_angle_alpha 90.00
_cell_angle_beta 90.00
_cell_angle_gamma 119.36
loop_
_space_group_symop_operation_xyz
'x,y,z'
loop_
_atom_site_label
_atom_site_fract_x
_atom_site_fract_y
_atom_site_fract_z
Pr1 0.2152 0.7848 0.5000
Pr2 0.7848 0.2152 0.0000
Dy1 0.0765 0.2840 0.7172
Dy2 0.2840 0.0765 0.2172
Dy3 0.4010 0.5990 0.6178
Dy4 0.5990 0.4010 0.1178
Dy5 0.7160 0.9235 0.7172
Dy6 0.9235 0.7160 0.2172
Sc1 0.0125 0.4475 0.3269
Sc2 0.0501 0.9499 0.7581
Sc3 0.2705 0.3804 0.1789
Sc4 0.3014 0.6986 0.0568
Sc5 0.3804 0.2705 0.6789
Sc6 0.4475 0.0125 0.8269
Sc7 0.5525 0.9875 0.3269
Sc8 0.6196 0.7295 0.1789
Sc9 0.6986 0.3014 0.5568
Sc10 0.7295 0.6196 0.6789
Sc11 0.9499 0.0501 0.2581
Sc12 0.9875 0.5525 0.8269



# TbHoCdRu | Alexandria | PBE | optimized geometry
# VASP energy	-5.25	eV per atom
# energy of formation	-0.40	eV per atom
# energy above the lowest structure with this stoichiometry	0.0000	eV per atom
# SG	No. 99
# V	92	Å³/cell
data_TbHoCdRu
_space_group_name_H-M_alt 'P 1'
_space_group_IT_number 1
_cell_length_a 3.4600
_cell_length_b 3.4600
_cell_length_c 7.6984
_cell_angle_alpha 90.00
_cell_angle_beta 90.00
_cell_angle_gamma 90.00
loop_
_space_group_symop_operation_xyz
'x,y,z'
loop_
_atom_site_label
_atom_site_fract_x
_atom_site_fract_y
_atom_site_fract_z
Tb1 0.0000 0.0000 0.0000
Ho1 0.0000 0.0000 0.5703
Cd1 0.5000 0.5000 0.2885
Ru1 0.5000 0.5000 0.7823



# Sc2HgPt | Alexandria | PBE | optimized geometry
# VASP energy	-5.42	eV per atom
# energy of formation	-0.67	eV per atom
# SG	No. 160
# V	91	Å³/cell
data_Sc2HgPt
_space_group_name_H-M_alt 'P 1'
_space_group_IT_number 1
_cell_length_a 7.5148
_cell_length_b 7.5148
_cell_length_c 7.5148
_cell_angle_alpha 29.55
_cell_angle_beta 29.55
_cell_angle_gamma 29.55
loop_
_space_group_symop_operation_xyz
'x,y,z'
loop_
_atom_site_label
_atom_site_fract_x
_atom_site_fract_y
_atom_site_fract_z
Sc1 0.0000 0.0000 0.0000
Sc2 0.1954 0.1954 0.1954
Hg1 0.7639 0.7639 0.7639
Pt1 0.5998 0.5998 0.5998